(1)
Pr7Ga2Sn2 (GGA-PBE, relaxed); SG = No. 65; magnetic moment = 0.0 μB/f.u.
1.0
3.997 -5.688 0.000
3.997 5.688 0.000
0.000 0.000 7.948
Pr Ga Sn
7 2 2
direct
0.000 0.000 0.000 Pr
0.000 0.500 0.298 Pr
0.000 0.500 0.702 Pr
0.500 0.000 0.298 Pr
0.500 0.000 0.702 Pr
0.500 0.500 0.278 Pr
0.500 0.500 0.722 Pr
0.162 0.162 0.500 Ga
0.838 0.838 0.500 Ga
0.295 0.705 0.000 Sn
0.705 0.295 0.000 Sn

***

(2)
Pr4GaSn (GGA-PBE, relaxed); SG = No. 15; energy above the lowest structure with this stoichiometry = 0 meV/atom; magnetic moment = 0.0 μB/f.u.
1.0
4.514 -7.098 0.000
4.514 7.098 0.000
-2.280 0.000 5.765
Pr Ga Sn
8 2 2
direct
0.071 0.706 0.936 Pr
0.221 0.385 0.647 Pr
0.294 0.929 0.564 Pr
0.385 0.221 0.147 Pr
0.615 0.779 0.853 Pr
0.706 0.071 0.436 Pr
0.779 0.615 0.353 Pr
0.929 0.294 0.064 Pr
0.001 0.999 0.250 Ga
0.999 0.001 0.750 Ga
0.380 0.620 0.250 Sn
0.620 0.380 0.750 Sn

***

| no. | mass density (g cm⁻³) | energy of formation from the pure elements (kJ/mol of formula units) |
| --- | --- | --- |
| 1 | 6.26 | -268 |
| 2 | 6.76 | -265 |